Here is crystalline B2MoPtO8 at its relaxed geometry from the Alexandria database. Energies are from PBE+U.

Calculated values
Uncorrected energy, eV/atom: -6.64
Spin magnetization, Bohr magnetons per cell: 0.0

a = 4.8737 Å, b = 4.8737 Å, c = 6.1818 Å
α = 90.00°, β = 90.00°, γ = 120.00°
Sites, in units of the cell vectors:
B 0.3333 0.6667 0.2099
B 0.6667 0.3333 0.7901
Mo 0.0000 0.0000 0.0000
Pt 0.0000 0.0000 0.5000
O 0.1650 0.3300 0.2666
O 0.1650 0.8350 0.2666
O 0.3300 0.1650 0.7334
O 0.3333 0.6667 0.9770
O 0.6667 0.3333 0.0230
O 0.6700 0.8350 0.2666
O 0.8350 0.1650 0.7334
O 0.8350 0.6700 0.7334